Pr4BCBr2 | PBE-GGA | optimized geometry

POSCAR file:
```
Pr4BCBr2
1.0
6.841 0.000 0.000
0.000 3.947 0.000
-2.295 0.000 7.490
Pr B C Br
4 1 1 2
direct
0.223 0.000 0.186
0.263 0.500 0.808
0.737 0.500 0.192
0.777 0.000 0.814
0.500 0.000 0.000
0.000 0.500 0.000
0.000 0.000 0.500
0.500 0.500 0.500
```


BCSeBr2 | PBE-GGA | optimized geometry

Calculated values
Polymorph energy (0 for the lowest one) in meV per atom: 0

POSCAR file:
```
BCSeBr2
1.0
4.846 0.000 0.000
0.000 4.846 0.000
0.000 0.000 4.286
B C Se Br
1 1 1 2
direct
0.000 0.000 0.000
0.500 0.500 0.500
0.500 0.500 0.000
0.000 0.500 0.500
0.500 0.000 0.500
```


Sm6B2CBr3 | PBE-GGA | optimized geometry

POSCAR file:
```
Sm6B2CBr3
1.0
3.381 -5.855 0.000
3.381 5.855 0.000
-2.252 0.000 7.278
Sm B C Br
6 2 1 3
direct
0.062 0.389 0.187
0.264 0.264 0.812
0.389 0.062 0.187
0.611 0.938 0.813
0.736 0.736 0.188
0.938 0.611 0.813
0.333 0.667 0.000
0.667 0.333 0.000
0.000 0.000 0.000
0.168 0.832 0.500
0.500 0.500 0.500
0.832 0.168 0.500
```


TiBCBr2 | PBE-GGA | optimized geometry

POSCAR file:
```
TiBCBr2
1.0
5.185 0.000 0.000
0.000 5.185 0.000
0.000 0.000 3.000
Ti B C Br
1 1 1 2
direct
0.000 0.000 0.000
0.500 0.500 0.500
0.500 0.500 0.000
0.000 0.500 0.500
0.500 0.000 0.500
```


Zr2BCBr | PBE-GGA | optimized geometry

POSCAR file:
```
Zr2BCBr
1.0
4.930 0.000 0.000
0.000 4.930 0.000
0.000 0.000 3.837
Zr B C Br
2 1 1 1
direct
0.000 0.500 0.000
0.500 0.000 0.000
0.000 0.000 0.500
0.500 0.500 0.500
0.000 0.000 0.000
```


CaBBr3 | PBE-GGA | optimized geometry

POSCAR file:
```
CaBBr3
1.0
5.629 0.000 0.000
0.000 5.629 0.000
0.000 0.000 5.629
Ca B Br
1 1 3
direct
0.000 0.000 0.000
0.500 0.500 0.500
0.000 0.000 0.500
0.000 0.500 0.000
0.500 0.000 0.000
```


CaBBr | PBE-GGA | optimized geometry

POSCAR file:
```
CaBBr
1.0
3.033 -1.862 0.000
3.033 1.862 0.000
-2.766 0.000 11.815
Ca B Br
2 2 2
direct
0.080 0.080 0.166
0.920 0.920 0.834
0.353 0.353 0.001
0.647 0.647 0.999
0.190 0.190 0.676
0.810 0.810 0.324
```


CaBBrF4 | PBE-GGA | optimized geometry

POSCAR file:
```
CaBBrF4
1.0
5.091 -3.385 0.000
5.091 3.385 0.000
-3.579 0.000 7.495
Ca B Br F
2 2 2 8
direct
0.204 0.204 0.205
0.796 0.796 0.795
0.399 0.399 0.696
0.601 0.601 0.304
0.092 0.092 0.835
0.908 0.908 0.165
0.174 0.515 0.745
0.348 0.348 0.507
0.447 0.447 0.223
0.485 0.826 0.255
0.515 0.174 0.745
0.553 0.553 0.777
0.652 0.652 0.493
0.826 0.485 0.255
```


CaBIr2Br | PBE-GGA | optimized geometry

POSCAR file:
```
CaBIr2Br
1.0
4.643 0.000 0.000
0.000 4.643 0.000
0.000 0.000 5.281
Ca B Ir Br
1 1 2 1
direct
0.000 0.000 0.000
0.500 0.500 0.000
0.000 0.500 0.500
0.500 0.000 0.500
0.000 0.000 0.500
```


Ca2B5BrO9 | PBE-GGA | optimized geometry

POSCAR file:
```
Ca2B5BrO9
1.0
11.420 0.000 0.000
0.000 11.575 0.000
0.000 0.000 6.324
Ca B Br O
8 20 4 36
direct
0.034 0.247 0.000
0.246 0.468 0.668
0.254 0.968 0.168
0.466 0.747 0.500
0.534 0.253 0.500
0.746 0.032 0.168
0.754 0.532 0.668
0.966 0.753 0.000
0.021 0.770 0.544
0.186 0.730 0.310
0.202 0.194 0.483
0.228 0.808 0.670
0.248 0.530 0.207
0.252 0.030 0.707
0.272 0.308 0.170
0.298 0.694 0.983
0.314 0.230 0.810
0.479 0.270 0.044
0.521 0.730 0.044
0.686 0.770 0.810
0.702 0.306 0.983
0.728 0.692 0.170
0.748 0.970 0.707
0.752 0.470 0.207
0.772 0.192 0.670
0.798 0.806 0.483
0.814 0.270 0.310
0.979 0.230 0.544
0.000 0.000 0.078
0.000 0.500 0.836
0.500 0.000 0.336
0.500 0.500 0.578
0.057 0.743 0.343
0.093 0.225 0.604
0.101 0.786 0.705
0.197 0.217 0.258
0.203 0.757 0.088
0.220 0.609 0.365
0.221 0.065 0.508
0.241 0.418 0.276
0.247 0.314 0.940
0.253 0.814 0.440
0.259 0.918 0.776
0.279 0.565 0.008
0.280 0.109 0.865
0.297 0.257 0.588
0.303 0.717 0.758
0.399 0.286 0.205
0.407 0.725 0.104
0.443 0.243 0.843
0.557 0.757 0.843
0.593 0.275 0.104
0.601 0.714 0.205
0.697 0.283 0.758
0.703 0.743 0.588
0.720 0.891 0.865
0.721 0.435 0.008
0.741 0.082 0.776
0.747 0.186 0.440
0.753 0.686 0.940
0.759 0.582 0.276
0.779 0.935 0.508
0.780 0.391 0.365
0.797 0.243 0.088
0.803 0.783 0.258
0.899 0.214 0.705
0.907 0.775 0.604
0.943 0.257 0.343
```


Rb2CaBBr6 | PBE-GGA | optimized geometry

POSCAR file:
```
Rb2CaBBr6
1.0
0.000 5.394 5.394
5.394 0.000 5.394
5.394 5.394 0.000
Rb Ca B Br
2 1 1 6
direct
0.250 0.250 0.250
0.750 0.750 0.750
0.000 0.000 0.000
0.500 0.500 0.500
0.268 0.268 0.732
0.268 0.732 0.268
0.268 0.732 0.732
0.732 0.268 0.268
0.732 0.268 0.732
0.732 0.732 0.268
```


CaB2SeBr | PBE-GGA | optimized geometry

POSCAR file:
```
CaB2SeBr
1.0
5.356 0.000 0.000
0.000 5.356 0.000
0.000 0.000 5.286
Ca B Se Br
1 2 1 1
direct
0.000 0.000 0.000
0.000 0.500 0.000
0.500 0.000 0.000
0.500 0.500 0.500
0.000 0.000 0.500
```


CaBSeBr2 | PBE-GGA | optimized geometry

Calculated values
Polymorph energy (0 for the lowest one) in meV per atom: 591

POSCAR file:
```
CaBSeBr2
1.0
5.577 0.000 0.000
0.000 5.577 0.000
0.000 0.000 5.760
Ca B Se Br
1 1 1 2
direct
0.000 0.000 0.000
0.500 0.500 0.500
0.000 0.000 0.500
0.000 0.500 0.000
0.500 0.000 0.000
```


CaBSeBr2 | PBE-GGA | optimized geometry

Calculated values
Polymorph energy (0 for the lowest one) in meV per atom: 0

POSCAR file:
```
CaBSeBr2
1.0
4.744 0.000 0.000
0.000 4.744 0.000
0.000 0.000 4.851
Ca B Se Br
1 1 1 2
direct
0.000 0.000 0.000
0.500 0.500 0.500
0.500 0.500 0.000
0.000 0.500 0.500
0.500 0.000 0.500
```


CaZnB2Br | PBE-GGA | optimized geometry

POSCAR file:
```
CaZnB2Br
1.0
4.468 0.000 0.000
0.000 4.468 0.000
0.000 0.000 5.456
Ca Zn B Br
1 1 2 1
direct
0.000 0.000 0.000
0.500 0.500 0.000
0.000 0.500 0.500
0.500 0.000 0.500
0.500 0.500 0.500
```


CaZrBBr2 | PBE-GGA | optimized geometry

POSCAR file:
```
CaZrBBr2
1.0
5.219 0.000 0.000
0.000 5.219 0.000
0.000 0.000 7.446
Ca Zr B Br
1 1 1 2
direct
0.000 0.000 0.000
0.000 0.000 0.500
0.500 0.500 0.500
0.000 0.500 0.000
0.500 0.000 0.000
```


CdBBr2 | PBE-GGA | optimized geometry

Calculated values
Polymorph energy (0 for the lowest one) in meV per atom: 11

POSCAR file:
```
CdBBr2
1.0
3.802 0.000 0.000
-1.897 4.948 0.000
-0.058 -2.664 6.295
Cd B Br
1 1 2
direct
0.000 0.000 0.000
0.634 0.268 0.000
0.678 0.365 0.739
0.826 0.646 0.262
```


CdB2Br2 | PBE-GGA | optimized geometry

Calculated values
Polymorph energy (0 for the lowest one) in meV per atom: 177

POSCAR file:
```
CdB2Br2
1.0
-2.266 2.266 5.538
2.266 -2.266 5.538
2.266 2.266 -5.538
Cd B Br
1 2 2
direct
0.000 0.000 0.000
0.250 0.750 0.500
0.750 0.250 0.500
0.314 0.314 0.000
0.686 0.686 0.000
```


CdBBr2 | PBE-GGA | optimized geometry

Calculated values
Polymorph energy (0 for the lowest one) in meV per atom: 27

POSCAR file:
```
CdBBr2
1.0
5.805 0.000 0.000
1.917 5.733 0.000
0.068 0.044 7.246
Cd B Br
2 2 4
direct
0.000 0.000 0.000
0.000 0.000 0.500
0.214 0.083 0.246
0.786 0.917 0.754
0.199 0.414 0.250
0.448 0.137 0.749
0.552 0.863 0.251
0.801 0.586 0.750
```


CdBBr2 | PBE-GGA | optimized geometry

Calculated values
Polymorph energy (0 for the lowest one) in meV per atom: 888

POSCAR file:
```
CdBBr2
1.0
0.000 3.573 3.573
3.573 0.000 3.573
3.573 3.573 0.000
Cd B Br
1 1 2
direct
0.000 0.000 0.000
0.500 0.500 0.500
0.250 0.250 0.250
0.750 0.750 0.750
```


CdBBr2 | PBE-GGA | optimized geometry

Calculated values
Polymorph energy (0 for the lowest one) in meV per atom: 36

POSCAR file:
```
CdBBr2
1.0
5.195 0.000 0.000
0.079 5.209 0.000
2.511 0.044 8.635
Cd B Br
2 2 4
direct
0.000 0.000 0.000
0.463 0.464 0.001
0.323 0.234 0.811
0.665 0.731 0.139
0.159 0.459 0.687
0.373 0.959 0.270
0.608 0.011 0.688
0.828 0.503 0.272
```


CdBBr2 | PBE-GGA | optimized geometry

Calculated values
Polymorph energy (0 for the lowest one) in meV per atom: 100

POSCAR file:
```
CdBBr2
1.0
6.241 0.000 0.000
0.351 6.490 0.000
2.513 -0.026 6.201
Cd B Br
2 2 4
direct
0.000 0.000 0.000
0.000 0.500 0.000
0.122 0.428 0.273
0.878 0.572 0.727
0.143 0.702 0.450
0.416 0.258 0.212
0.584 0.742 0.788
0.857 0.298 0.550
```


CdBBr2 | PBE-GGA | optimized geometry

Calculated values
Polymorph energy (0 for the lowest one) in meV per atom: 0

POSCAR file:
```
CdBBr2
1.0
4.669 0.000 0.000
-1.999 5.810 0.000
-1.236 -1.783 9.743
Cd B Br
2 2 4
direct
0.000 0.000 0.000
0.347 0.775 0.850
0.229 0.510 0.660
0.552 0.073 0.040
0.002 0.182 0.656
0.339 0.591 0.490
0.511 0.043 0.238
0.662 0.419 0.016
```


Energy relative to the elements, uncorrected values, unit kJ per mole of atoms, following the record order: -75.1; 176.9; -77.6; 68.7; 192.5; -14.3; -76.1; -281.4; 165.3; -251.3; -99.0; 159.3; 26.5; -30.6; 150.4; 93.3; -4.6; 137.1; -3.0; 80.0; -2.1; 4.0; -5.6.
Total DFT energy (no corrections) values, unit eV/atom, following the record order: -5.574; -2.713; -5.464; -4.716; -4.939; -2.888; -4.239; -5.465; -3.901; -7.527; -3.091; -2.452; -2.828; -3.419; -2.101; -3.148; -2.782; -2.102; -2.766; -1.905; -2.756; -2.693; -2.793.